# 1
## TbSc3Hg2 (PBE)

Data for a relaxed structure of TbSc3Hg2.

Summary:
**Formation energy from the elements**: -343 meV/atom
**SG**: Pmc2_1 (26)
**Calculated density**: 7.98 g/cm³

The structure in POSCAR format:
```
TbSc3Hg2
1.0
4.876 0.000 0.000
0.000 6.787 0.000
0.000 0.000 8.736
Hg Sc Tb
4 6 2
direct
0.000 0.253 0.654
0.500 0.248 0.148
0.500 0.748 0.852
0.000 0.753 0.346
0.500 0.675 0.169
0.000 0.826 0.684
0.500 0.175 0.831
0.000 0.326 0.316
0.000 0.485 0.950
0.000 0.985 0.050
0.500 0.514 0.551
0.500 0.014 0.449
```

---

# 2
## ZrTiNi4 (PBE)

Data for a relaxed structure of ZrTiNi4.

Summary:
**Formation energy from the elements**: -387 meV/atom
**SG**: F-43m (216)
**Calculated density**: 7.74 g/cm³

The structure in POSCAR format:
```
ZrTiNi4
1.0
4.842 0.000 0.000
2.421 4.193 0.000
2.421 1.398 3.953
Ti Zr Ni
1 1 4
direct
0.250 0.250 0.250
0.000 0.000 0.000
0.624 0.127 0.624
0.624 0.624 0.624
0.624 0.624 0.127
0.127 0.624 0.624
```

---

# 3
## Li2ZnMo (PBE)

Data for a relaxed structure of Li2ZnMo.

Summary:
**Formation energy from the elements**: 397 meV/atom
**SG**: P4/mmm (123)
**Calculated density**: 4.89 g/cm³

The structure in POSCAR format:
```
Li2ZnMo
1.0
4.231 0.000 0.000
0.000 3.749 0.000
0.000 0.000 3.749
Mo Zn Li
1 1 2
direct
0.500 0.500 0.000
0.500 0.000 0.500
0.000 0.000 0.000
0.000 0.500 0.500
```

---

# 4
## Tl3Hg5Sb2 (PBE)

Data for a relaxed structure of Tl3Hg5Sb2.

Summary:
**SG**: Ibam (72)
**Calculated density**: 9.62 g/cm³
**Uncorrected formation energy**: 0.05 eV/atom

The structure in POSCAR format:
```
Tl3Hg5Sb2
1.0
7.203 0.000 0.000
3.601 9.831 0.687
3.601 3.271 9.297
Sb Hg Tl
4 10 6
direct
0.874 0.284 0.968
0.374 0.968 0.284
0.126 0.716 0.032
0.626 0.032 0.716
0.140 0.437 0.284
0.360 0.716 0.563
0.526 0.224 0.224
0.640 0.284 0.437
0.974 0.776 0.776
0.026 0.224 0.224
0.750 0.500 0.500
0.250 0.500 0.500
0.474 0.776 0.776
0.860 0.563 0.716
0.750 0.000 0.000
0.660 0.571 0.108
0.840 0.892 0.429
0.250 0.000 0.000
0.160 0.108 0.571
0.340 0.429 0.892
```

---

# 5
## La2PrHo (PBE)

Data for a relaxed structure of La2PrHo.

Summary:
**Formation energy from the elements**: 14 meV/atom
**SG**: R-3m (166)
**Calculated density**: 6.88 g/cm³

The structure in POSCAR format:
```
La2PrHo
1.0
-3.015 1.870 1.027
-3.246 -0.695 -1.621
-4.425 -7.901 8.039
La Pr Ho
2 1 1
direct
0.752 0.752 0.744
0.248 0.248 0.256
0.000 0.000 0.000
0.500 0.500 0.500
```

---

# 6
## AlCdAs2 (PBE)

Data for a relaxed structure of AlCdAs2.

Summary:
**Formation energy from the elements**: 174 meV/atom
**SG**: C2/m (12)
**Calculated density**: 5.67 g/cm³

The structure in POSCAR format:
```
AlCdAs2
1.0
5.713 -0.032 -0.044
4.876 2.977 -0.044
1.648 0.458 4.923
Al As Cd
1 2 1
direct
0.750 0.750 0.750
0.456 0.456 0.586
0.044 0.044 0.914
0.250 0.250 0.250
```

---

# 7
## MnRe2Hg (PBE)

Data for a relaxed structure of MnRe2Hg.

Summary:
**Formation energy from the elements**: 641 meV/atom
**SG**: I4/mmm (139)
**Calculated density**: 16.69 g/cm³

The structure in POSCAR format:
```
MnRe2Hg
1.0
5.040 0.013 0.000
2.110 4.577 0.000
-3.575 -2.295 2.712
Hg Re Mn
1 2 1
direct
0.250 0.750 0.500
0.000 0.000 0.000
0.500 0.500 0.000
0.750 0.250 0.500
```

---

# 8
## TbPm5Al2 (PBE)

Data for a relaxed structure of TbPm5Al2.

Summary:
**Formation energy from the elements**: -66 meV/atom
**SG**: Immm (71)
**Calculated density**: 6.53 g/cm³

The structure in POSCAR format:
```
TbPm5Al2
1.0
-0.425 -2.965 2.094
6.406 -4.791 -2.293
5.278 1.421 6.274
Tb Pm Al
1 5 2
direct
0.000 0.000 0.000
0.641 0.577 0.141
0.359 0.859 0.423
0.000 0.500 0.500
0.641 0.141 0.577
0.359 0.423 0.859
0.277 0.223 0.223
0.723 0.777 0.777
```

---

# 9
## Ca2MoIr (PBE)

Data for a relaxed structure of Ca2MoIr.

Summary:
**Formation energy from the elements**: 503 meV/atom
**SG**: P4/mmm (123)
**Calculated density**: 7.65 g/cm³

The structure in POSCAR format:
```
Ca2MoIr
1.0
-0.072 -4.047 -0.443
4.070 -0.081 0.072
-0.095 -0.523 4.794
Mo Ca Ir
1 2 1
direct
0.000 0.500 0.500
0.500 0.500 0.000
0.000 0.000 0.000
0.500 0.000 0.500
```

---

# 10
## B2MoPd (PBE)

Data for a relaxed structure of B2MoPd.

Summary:
**Formation energy from the elements**: 372 meV/atom
**SG**: I-42d (122)
**Calculated density**: 7.90 g/cm³

The structure in POSCAR format:
```
B2MoPd
1.0
-0.681 5.678 -0.668
-5.531 -0.484 1.526
-2.391 3.003 3.149
Pd B Mo
2 4 2
direct
0.750 0.250 0.500
0.000 0.000 0.000
0.119 0.625 0.250
0.875 0.881 0.750
0.375 0.369 0.750
0.631 0.125 0.250
0.250 0.750 0.500
0.500 0.500 0.000
```

---

# 11
## Y5Cu (PBE)

Data for a relaxed structure of Y5Cu.

Summary:
**Formation energy from the elements**: -42 meV/atom
**SG**: C2/m (12)
**Calculated density**: 4.88 g/cm³

The structure in POSCAR format:
```
Y5Cu
1.0
-0.304 2.320 2.771
-4.517 1.554 -4.170
-7.417 -3.490 2.107
Y Cu
5 1
direct
0.697 0.394 0.650
0.393 0.785 0.810
0.663 0.326 0.078
0.359 0.717 0.239
0.028 0.056 0.444
0.028 0.055 0.945
```

---

# 12
## SmSc2Pa (PBE)

Data for a relaxed structure of SmSc2Pa.

Summary:
**Formation energy from the elements**: 193 meV/atom
**SG**: P4/mmm (123)
**Calculated density**: 7.40 g/cm³

The structure in POSCAR format:
```
SmSc2Pa
1.0
4.695 0.000 0.000
0.000 4.745 0.000
0.000 0.000 4.745
Sc Sm Pa
2 1 1
direct
0.000 0.000 0.500
0.000 0.500 0.000
0.500 0.000 0.000
0.500 0.500 0.500
```

---

Question: Among the records above, which one has the lowest calculated density?
Answer: Y5Cu

---

Question: Among the records above, which one has the lowest calculated density?
Answer: Y5Cu